MnCoB2O5: relaxed, PBEsol.

Output
- M_tot: 7.9 μB/f.u.
- Space group: No. 2
- Energy: -8.14 eV per atom
- V: 174.9 Å³ per cell
- Raw formation energy: -15.51 eV per formula unit

Lattice parameters (Å, degrees): 3.2029 6.1574 9.0957 102.78 89.03 91.57
Fractional positions:
B  0.3151  0.3108  0.6541
B  0.3327  0.8996  0.1652
B  0.6673  0.1004  0.8348
B  0.6849  0.6892  0.3459
Mn  0.2431  0.7697  0.6415
Mn  0.7569  0.2303  0.3585
O  0.7442  0.2879  0.9464
O  0.2161  0.1116  0.1731
O  0.7839  0.8884  0.8269
O  0.2558  0.7121  0.0536
O  0.2437  0.2831  0.5043
O  0.5533  0.8759  0.2949
O  0.7242  0.4898  0.2443
O  0.7563  0.7169  0.4957
O  0.2758  0.5102  0.7557
O  0.4467  0.1241  0.7051
Co  0.2331  0.3953  0.0871
Co  0.7669  0.6047  0.9129